Density functional theory data (PBE) for an optimized crystal structure of Ho6Si2SbTe3.

Cell lengths 9.5996, 9.5996, 8.6377 Å; angles 103.56, 103.56, 25.59 degrees
Last column: nearest neighbours and their distance in Å.
Sites, in units of the cell vectors:
1 Ho 0.0121 0.0121 0.2514  1 Si 2.83, 2 Sb 3.01, 2 Te 3.07
2 Ho 0.3255 0.3255 0.4336  3 Si 2.86-2.89, 3 Te 3.18-3.19
3 Ho 0.3320 0.3320 0.8881  2 Si 2.87, 1 Sb 3.06, 3 Te 3.09-3.19
4 Ho 0.6680 0.6680 0.1119  2 Si 2.87, 1 Sb 3.06, 3 Te 3.09-3.19
5 Ho 0.6745 0.6745 0.5664  3 Si 2.86-2.89, 3 Te 3.18-3.19
6 Ho 0.9879 0.9879 0.7486  1 Si 2.83, 2 Sb 3.01, 2 Te 3.07
7 Si 0.1681 0.1681 0.3360  6 Ho 2.83-2.89
8 Si 0.8319 0.8319 0.6640  6 Ho 2.83-2.89
9 Sb 0.5000 0.5000 0.0000  6 Ho 3.01-3.06
10 Te 0.1629 0.1629 0.8341  6 Ho 3.09-3.19
11 Te 0.5000 0.5000 0.5000  6 Ho 3.07-3.18
12 Te 0.8371 0.8371 0.1659  6 Ho 3.09-3.19

Computed properties:
DFT total energy ... -5.474 eV per atom
DOS(E_F) ... 0.214 states/eV per atom
Magnetization ... 0.000 μB/atom
Raw formation energy ... -13.83 eV per formula unit
Symmetry ... C2/m (12)